[1]
This record from Alexandria describes a relaxed SrTl2Tc crystal. The functional is PBEsol.

Density of states at the Fermi level in states/eV/cell: 3.691
Electronic total energy in eV per atom: -4.16
Energy of formation in eV/atom: 0.43

Unit cell a=3.6467 b=3.6467 c=7.6649 alpha=90.00 beta=90.00 gamma=90.00
Sites, in units of the cell vectors:
Sr: 0.0000 0.0000 0.0000
Tl: 0.0000 0.0000 0.4112
Tl: 0.5000 0.5000 0.6735
Tc: 0.5000 0.5000 0.2949

=====

[2]
This record from Alexandria describes a relaxed BeTe5 crystal. The functional is PBEsol.

Density of states at the Fermi level in states/eV/cell: 6.772
Electronic total energy in eV per atom: -2.77
Formation energy from raw total energies in meV/atom: 831

Unit cell a=6.1988 b=6.1988 c=6.1988 alpha=60.00 beta=60.00 gamma=60.00
Sites, in units of the cell vectors:
Be: 0.0000 0.0000 0.0000
Te: 0.3752 0.3752 0.3752
Te: 0.3752 0.3752 0.8745
Te: 0.3752 0.8745 0.3752
Te: 0.7500 0.7500 0.7500
Te: 0.8745 0.3752 0.3752

=====

[3]
This record from Alexandria describes a relaxed MnFe2Se crystal. The functional is PBEsol.

Density of states at the Fermi level in states/eV/cell: 4.056
Electronic total energy in eV per atom: -7.71
Formation energy from raw total energies in meV/atom: 174

Unit cell a=3.1000 b=3.1000 c=5.1669 alpha=90.00 beta=90.00 gamma=90.00
Sites, in units of the cell vectors:
Mn: 0.0000 0.0000 0.0000
Fe: 0.0000 0.0000 0.5128
Fe: 0.5000 0.5000 0.7424
Se: 0.5000 0.5000 0.2368

=====

[4]
This record from Alexandria describes a relaxed CsBe3Tc crystal. The functional is PBEsol.

Density of states at the Fermi level in states/eV/cell: 3.354
Electronic total energy in eV per atom: -1.77
Energy of formation in eV/atom: 3.08

Unit cell a=4.6642 b=4.6642 c=4.6642 alpha=90.00 beta=90.00 gamma=90.00
Sites, in units of the cell vectors:
Cs: 0.0000 0.0000 0.0000
Be: 0.0000 0.0000 0.5000
Be: 0.0000 0.5000 0.0000
Be: 0.5000 0.0000 0.0000
Tc: 0.5000 0.5000 0.5000

=====

[5]
This record from Alexandria describes a relaxed ReTe2Rh crystal. The functional is PBEsol.

Density of states at the Fermi level in states/eV/cell: 3.924
Electronic total energy in eV per atom: -6.57
Formation energy from raw total energies in meV/atom: 561

Unit cell a=9.0342 b=9.0342 c=9.0342 alpha=20.68 beta=20.68 gamma=20.68
Sites, in units of the cell vectors:
Re: 0.0000 0.0000 0.0000
Te: 0.4064 0.4064 0.4064
Te: 0.5936 0.5936 0.5936
Rh: 0.5000 0.5000 0.5000

=====

[6]
This record from Alexandria describes a relaxed CrCo2Mo crystal. The functional is PBEsol.

Density of states at the Fermi level in states/eV/cell: 2.943
Electronic total energy in eV per atom: -9.34
Energy of formation in eV/atom: 0.03

Unit cell a=2.5360 b=3.5696 c=5.0662 alpha=90.00 beta=90.00 gamma=90.00
Sites, in units of the cell vectors:
Cr: 0.0000 0.0000 0.0000
Co: 0.5000 0.5000 0.2366
Co: 0.5000 0.5000 0.7634
Mo: 0.0000 0.0000 0.5000

=====

[7]
This record from Alexandria describes a relaxed RbLiAsC2 crystal. The functional is PBEsol.

Density of states at the Fermi level in states/eV/cell: 3.191
Electronic total energy in eV per atom: -2.33
Energy of formation in eV/atom: 3.15

Unit cell a=5.1619 b=5.1619 c=6.7783 alpha=90.00 beta=90.00 gamma=90.00
Sites, in units of the cell vectors:
Rb: 0.0000 0.0000 0.0000
Li: 0.5000 0.5000 0.5000
As: 0.0000 0.0000 0.5000
C: 0.0000 0.5000 0.0000
C: 0.5000 0.0000 0.0000

=====

[8]
This record from Alexandria describes a relaxed Li2CdAgCl crystal. The functional is PBEsol.

Density of states at the Fermi level in states/eV/cell: 1.421
Electronic total energy in eV per atom: -2.42
Formation energy from raw total energies in meV/atom: -333

Unit cell a=4.3149 b=4.3149 c=5.6220 alpha=90.00 beta=90.00 gamma=90.00
Sites, in units of the cell vectors:
Li: 0.0000 0.5000 0.0000
Li: 0.5000 0.0000 0.0000
Cd: 0.0000 0.0000 0.5000
Ag: 0.5000 0.5000 0.5000
Cl: 0.5000 0.5000 0.0000

=====

Please write out number 2 again, unchanged.
This record from Alexandria describes a relaxed BeTe5 crystal. The functional is PBEsol.

Density of states at the Fermi level in states/eV/cell: 6.772
Electronic total energy in eV per atom: -2.77
Formation energy from raw total energies in meV/atom: 831

Unit cell a=6.1988 b=6.1988 c=6.1988 alpha=60.00 beta=60.00 gamma=60.00
Sites, in units of the cell vectors:
Be: 0.0000 0.0000 0.0000
Te: 0.3752 0.3752 0.3752
Te: 0.3752 0.3752 0.8745
Te: 0.3752 0.8745 0.3752
Te: 0.7500 0.7500 0.7500
Te: 0.8745 0.3752 0.3752

=====

electronic total energy of number 8 (Li2CdAgCl)? -2.42 eV per atom